# ErPu3Pt8

A geometry-optimized ErPu3Pt8 structure (GGA-PBE, Alexandria via LeMat-Bulk).

Computed properties:
**Energy**: -8.89 eV/atom
**ΔE_f**: -903 meV/atom
**Magnetic moment**: 5.332 μB per cell
**Calculated volume**: 228.04 Å³ per cell
**Fermi-level density of states**: 36.89 states/eV per cell
**Density**: 17913 kg/m³

Cell lengths 9.4345, 9.4345, 9.4345 Å; angles 33.52, 33.52, 33.52 degrees
Closest atoms and distances in Å follow each position.
Fractional positions:
Er (0.0000, 0.0000, 0.0000)  12 Pt 3.16-3.21, 4 Pu 3.36-3.37
Pu (0.1261, 0.1261, 0.1261)  12 Pt 3.15-3.24, 3 Pu 3.29, 1 Er 3.37
Pu (0.4961, 0.4961, 0.4961)  12 Pt 3.16-3.24, 4 Pu 3.29-3.35
Pu (0.6217, 0.6217, 0.6217)  12 Pt 3.16-3.21, 1 Pu 3.35, 3 Er 3.36
Pt (0.0592, 0.5606, 0.5606)  6 Pt 2.71-2.74
Pt (0.0612, 0.0612, 0.5630)  6 Pt 2.71-2.74
Pt (0.0612, 0.5630, 0.0612)  6 Pt 2.71-2.74
Pt (0.3109, 0.3109, 0.3109)  6 Pt 2.71
Pt (0.5606, 0.0592, 0.5606)  6 Pt 2.71-2.74
Pt (0.5606, 0.5606, 0.0592)  6 Pt 2.71-2.74
Pt (0.5630, 0.0612, 0.0612)  6 Pt 2.71-2.74
Pt (0.8109, 0.8109, 0.8109)  6 Pt 2.74

# Be2AlRh

A geometry-optimized Be2AlRh structure (GGA-PBE, Alexandria via LeMat-Bulk).

Computed properties:
**Energy**: -5.04 eV/atom
**ΔE_f**: -399 meV/atom
**Magnetic moment**: 0.000 μB per cell
**Calculated volume**: 44.63 Å³ per cell
**Fermi-level density of states**: 1.06 states/eV per cell
**Density**: 5503 kg/m³

Cell lengths 2.7640, 3.6024, 4.6844 Å; angles 90.00, 106.90, 90.00 degrees
Closest atoms and distances in Å follow each position.
Fractional positions:
Be (0.0000, 0.0000, 0.0000)  2 Be 2.12
Be (0.1245, 0.5000, 0.2482)  2 Be 2.12, 1 Al 2.36
Al (0.3876, 0.5000, 0.7738)  7 Be 2.36-2.54
Rh (0.7216, 0.0000, 0.4473)  7 Be 2.43-2.48, 4 Al 2.69-2.71

# YMgTe2

A geometry-optimized YMgTe2 structure (GGA-PBE, Alexandria via LeMat-Bulk).

Computed properties:
**Energy**: -4.36 eV/atom
**Magnetic moment**: 1.772 μB per cell
**Calculated volume**: 302.45 Å³ per cell
**Fermi-level density of states**: 7.33 states/eV per cell
**Density**: 4045 kg/m³

Cell lengths 8.0527, 8.0527, 8.0527 Å; angles 129.58, 129.58, 74.07 degrees
Closest atoms and distances in Å follow each position.
Fractional positions:
Y (0.0000, 0.0000, 0.0000)  4 Te 3.01
Y (0.7500, 0.2500, 0.5000)  4 Te 3.01
Mg (0.2500, 0.7500, 0.5000)  4 Te 2.81
Mg (0.5000, 0.5000, 0.0000)  4 Te 2.81
Te (0.1495, 0.6250, 0.0245)  2 Mg 2.81, 2 Y 3.01
Te (0.3750, 0.3995, 0.5245)  2 Mg 2.81, 2 Y 3.01
Te (0.6005, 0.1250, 0.9755)  2 Mg 2.81, 2 Y 3.01
Te (0.8750, 0.8505, 0.4755)  2 Mg 2.81, 2 Y 3.01

# Sc4TcPt3

A geometry-optimized Sc4TcPt3 structure (GGA-PBE, Alexandria via LeMat-Bulk).

Computed properties:
**Energy**: -7.73 eV/atom
**ΔE_f**: -1002 meV/atom
**Magnetic moment**: 0.000 μB per cell
**Calculated volume**: 140.81 Å³ per cell
**Fermi-level density of states**: 4.17 states/eV per cell
**Density**: 10178 kg/m³

Cell lengths 3.3436, 3.3436, 12.5951 Å; angles 90.00, 90.00, 90.00 degrees
Closest atoms and distances in Å follow each position.
Fractional positions:
Sc (0.0000, 0.0000, 0.1191)  4 Tc 2.80, 4 Pt 2.90, 1 Sc 3.00
Sc (0.0000, 0.0000, 0.3730)  8 Pt 2.81-2.85
Sc (0.0000, 0.0000, 0.6270)  8 Pt 2.81-2.85
Sc (0.0000, 0.0000, 0.8809)  4 Tc 2.80, 4 Pt 2.90, 1 Sc 3.00
Tc (0.5000, 0.5000, 0.0000)  8 Sc 2.80
Pt (0.5000, 0.5000, 0.2528)  8 Sc 2.81-2.90, 1 Pt 3.11
Pt (0.5000, 0.5000, 0.5000)  8 Sc 2.85, 2 Pt 3.11
Pt (0.5000, 0.5000, 0.7472)  8 Sc 2.81-2.90, 1 Pt 3.11

# Rb2CuMo

A geometry-optimized Rb2CuMo structure (GGA-PBE, Alexandria via LeMat-Bulk).

Computed properties:
**Energy**: -2.97 eV/atom
**ΔE_f**: 1242 meV/atom
**Magnetic moment**: 9.837 μB per cell
**Calculated volume**: 410.61 Å³ per cell
**Fermi-level density of states**: 3.11 states/eV per cell
**Density**: 2672 kg/m³

Cell lengths 9.3202, 9.3202, 9.3202 Å; angles 94.31, 94.31, 148.17 degrees
Closest atoms and distances in Å follow each position.
Fractional positions:
Rb (0.3750, 0.2075, 0.3325)  2 Cu 3.40
Rb (0.7925, 0.1250, 0.1675)  2 Cu 3.40
Rb (0.8750, 0.0425, 0.6675)  2 Cu 3.40
Rb (0.9575, 0.6250, 0.8325)  2 Cu 3.40
Cu (0.0000, 0.0000, 0.0000)  2 Mo 2.56
Cu (0.7500, 0.2500, 0.5000)  2 Mo 2.56
Mo (0.2500, 0.7500, 0.5000)  2 Cu 2.56
Mo (0.5000, 0.5000, 0.0000)  2 Cu 2.56

# NaCN2Cl

A geometry-optimized NaCN2Cl structure (GGA-PBE, Alexandria via LeMat-Bulk).

Computed properties:
**Energy**: -3.13 eV/atom
**Magnetic moment**: 0.824 μB per cell
**Calculated volume**: 60.40 Å³ per cell
**Fermi-level density of states**: 3.15 states/eV per cell
**Density**: 2707 kg/m³

Cell lengths 4.0897, 4.0897, 3.6111 Å; angles 90.00, 90.00, 90.00 degrees
Closest atoms and distances in Å follow each position.
Fractional positions:
Na (0.0000, 0.0000, 0.0000)  8 N 2.73, 4 C 2.89
C (0.5000, 0.5000, 0.0000)  2 Cl 1.81
N (0.0000, 0.5000, 0.5000)  2 Cl 2.04
N (0.5000, 0.0000, 0.5000)  2 Cl 2.04
Cl (0.5000, 0.5000, 0.5000)  2 C 1.81

# PuHg6

A geometry-optimized PuHg6 structure (GGA-PBE, Alexandria via LeMat-Bulk).

Computed properties:
**Energy**: -1.90 eV/atom
**ΔE_f**: 407 meV/atom
**Magnetic moment**: 6.368 μB per cell
**Calculated volume**: 258.70 Å³ per cell
**Fermi-level density of states**: 24.57 states/eV per cell
**Density**: 9291 kg/m³

Cell lengths 6.9525, 6.9525, 6.9525 Å; angles 109.47, 109.47, 109.47 degrees
Closest atoms and distances in Å follow each position.
Fractional positions:
Pu (0.0000, 0.0000, 0.0000)  24 Hg 4.49
Hg (0.2500, 0.5000, 0.7500)  4 Hg 2.84
Hg (0.2500, 0.7500, 0.5000)  4 Hg 2.84
Hg (0.5000, 0.2500, 0.7500)  4 Hg 2.84
Hg (0.5000, 0.7500, 0.2500)  4 Hg 2.84
Hg (0.7500, 0.2500, 0.5000)  4 Hg 2.84
Hg (0.7500, 0.5000, 0.2500)  4 Hg 2.84

# TbNdSbTe

A geometry-optimized TbNdSbTe structure (GGA-PBE, Alexandria via LeMat-Bulk).

Computed properties:
**Energy**: -5.48 eV/atom
**Magnetic moment**: 0.000 μB per cell
**Calculated volume**: 125.12 Å³ per cell
**Fermi-level density of states**: 1.74 states/eV per cell
**Density**: 7333 kg/m³

Cell lengths 7.7416, 7.7416, 7.7416 Å; angles 33.39, 33.39, 33.39 degrees
Closest atoms and distances in Å follow each position.
Fractional positions:
Tb (0.0000, 0.0000, 0.0000)  3 Sb 3.07, 3 Te 3.16
Nd (0.5072, 0.5072, 0.5072)  3 Sb 3.14, 3 Te 3.24
Sb (0.2565, 0.2565, 0.2565)  3 Tb 3.07, 3 Nd 3.14
Te (0.7506, 0.7506, 0.7506)  3 Tb 3.16, 3 Nd 3.24

# LiCa4Re

A geometry-optimized LiCa4Re structure (GGA-PBE, Alexandria via LeMat-Bulk).

Computed properties:
**Energy**: -2.62 eV/atom
**ΔE_f**: 1108 meV/atom
**Magnetic moment**: 3.018 μB per cell
**Calculated volume**: 189.36 Å³ per cell
**Fermi-level density of states**: 9.48 states/eV per cell
**Density**: 3100 kg/m³

Cell lengths 6.4457, 6.4457, 6.4457 Å; angles 60.00, 60.00, 60.00 degrees
Closest atoms and distances in Å follow each position.
Fractional positions:
Li (0.0000, 0.0000, 0.0000)  12 Ca 3.78, 4 Re 3.95
Ca (0.3762, 0.3762, 0.3762)  6 Ca 3.19-3.25
Ca (0.3762, 0.3762, 0.8714)  6 Ca 3.19-3.25
Ca (0.3762, 0.8714, 0.3762)  6 Ca 3.19-3.25
Ca (0.8714, 0.3762, 0.3762)  6 Ca 3.19-3.25
Re (0.7500, 0.7500, 0.7500)  12 Ca 3.78, 4 Li 3.95

# FeAs2Os

A geometry-optimized FeAs2Os structure (GGA-PBE, Alexandria via LeMat-Bulk).

Computed properties:
**Energy**: -6.98 eV/atom
**ΔE_f**: 263 meV/atom
**Magnetic moment**: 1.199 μB per cell
**Calculated volume**: 57.15 Å³ per cell
**Fermi-level density of states**: 3.36 states/eV per cell
**Density**: 11504 kg/m³

Cell lengths 4.1451, 4.1451, 5.0711 Å; angles 101.35, 101.35, 42.14 degrees
Closest atoms and distances in Å follow each position.
Fractional positions:
Fe (0.0000, 0.0000, 0.0000)  6 As 2.50-2.54
As (0.2502, 0.2502, 0.7590)  3 Fe 2.50-2.54, 3 Os 2.56-2.57
As (0.7498, 0.7498, 0.2410)  3 Fe 2.50-2.54, 3 Os 2.56-2.57
Os (0.5000, 0.5000, 0.5000)  6 As 2.56-2.57

# LiCa2V

A geometry-optimized LiCa2V structure (GGA-PBE, Alexandria via LeMat-Bulk).

Computed properties:
**Energy**: -3.32 eV/atom
**ΔE_f**: 440 meV/atom
**Magnetic moment**: 4.512 μB per cell
**Calculated volume**: 113.74 Å³ per cell
**Fermi-level density of states**: 3.54 states/eV per cell
**Density**: 2015 kg/m³

Cell lengths 5.4385, 5.4385, 5.4385 Å; angles 60.00, 60.00, 60.00 degrees
Closest atoms and distances in Å follow each position.
Fractional positions:
Li (0.0000, 0.0000, 0.0000)  8 Ca 3.33
Ca (0.2500, 0.2500, 0.2500)  4 V 3.33, 4 Li 3.33
Ca (0.7500, 0.7500, 0.7500)  4 V 3.33, 4 Li 3.33
V (0.5000, 0.5000, 0.5000)  8 Ca 3.33

# K2HgBr

A geometry-optimized K2HgBr structure (GGA-PBE, Alexandria via LeMat-Bulk).

Computed properties:
**Energy**: -1.95 eV/atom
**Magnetic moment**: 0.000 μB per cell
**Calculated volume**: 141.70 Å³ per cell
**Fermi-level density of states**: 1.56 states/eV per cell
**Density**: 4203 kg/m³

Cell lengths 4.0871, 4.0871, 8.4827 Å; angles 90.00, 90.00, 90.00 degrees
Closest atoms and distances in Å follow each position.
Fractional positions:
K (0.0000, 0.0000, 0.2290)  4 Br 3.48, 4 Hg 3.69, 1 K 3.89
K (0.0000, 0.0000, 0.7710)  4 Br 3.48, 4 Hg 3.69, 1 K 3.89
Hg (0.5000, 0.5000, 0.5000)  8 K 3.69, 4 Hg 4.09
Br (0.5000, 0.5000, 0.0000)  8 K 3.48